NaSrEuWO6 | the Alexandria database | PBE with a Hubbard U | relaxed; N(E_F) = 0.99 states/eV per atom; offset from the most stable computed form = 0 meV per atom; final energy = -7.387 eV/atom
1.0
0.000 4.219 4.219
4.219 0.000 4.219
4.219 4.219 0.000
Na Sr Eu W O
1 1 1 1 6
Direct
0.250 0.250 0.250 Na
0.750 0.750 0.750 Sr
0.000 0.000 0.000 Eu
0.500 0.500 0.500 W
0.269 0.731 0.269 O
0.731 0.269 0.731 O
0.269 0.731 0.731 O
0.731 0.269 0.269 O
0.269 0.269 0.731 O
0.731 0.731 0.269 O